A | Below is YRe2Au after structural relaxation, with properties calculated at the PBE level.

a = 3.492 Å, b = 3.492 Å, c = 6.362 Å
α = 90.00°, β = 90.00°, γ = 90.00°
Atoms (fractional coordinates):
Au 0.500 0.500 0.750
Re 0.000 0.000 0.558
Re 0.000 0.000 0.942
Y 0.500 0.500 0.250

## Properties
DOS at the Fermi energy   3.29 states/eV/cell
Total moment   0.00 μB per formula unit
Space group   P4/mmm (123)

---

B | Below is YRe2Au after structural relaxation, with properties calculated at the PBE level.

a = 5.413 Å, b = 5.413 Å, c = 4.886 Å
α = 77.69°, β = 77.69°, γ = 31.27°
Atoms (fractional coordinates):
Re 0.016 0.016 0.995
Re 0.484 0.484 0.505
Au 0.750 0.750 0.750
Y 0.250 0.250 0.250

## Properties
DOS at the Fermi energy   2.96 states/eV/cell
Total moment   0.00 μB per formula unit
Space group   C2/m (12)

---

Quick look at relative energies in eV/atom: A 0.191; B 0.000.

---

A | Below is YRe3Au after structural relaxation, with properties calculated at the PBE level.

a = 4.792 Å, b = 4.792 Å, c = 4.792 Å
α = 90.00°, β = 90.00°, γ = 90.00°
Atoms (fractional coordinates):
Re 0.500 0.000 0.000
Re 0.000 0.000 0.500
Re 0.000 0.500 0.000
Y 0.000 0.000 0.000
Au 0.500 0.500 0.500

## Properties
DOS at the Fermi energy   5.69 states/eV/cell
Total moment   0.00 μB per formula unit
Space group   Pm-3m (221)

---

B | Below is YRe3Au after structural relaxation, with properties calculated at the PBE level.

a = 4.861 Å, b = 4.861 Å, c = 4.861 Å
α = 90.00°, β = 90.00°, γ = 90.00°
Atoms (fractional coordinates):
Re 0.000 0.000 0.500
Re 0.500 0.000 0.000
Re 0.000 0.500 0.000
Au 0.000 0.000 0.000
Y 0.500 0.500 0.500

## Properties
DOS at the Fermi energy   11.09 states/eV/cell
Total moment   0.04 μB per formula unit
Space group   Pm-3m (221)

---

Quick look at relative energies in eV/atom: A 0.912; B 0.000.

---

A | Below is Zn2ReAu after structural relaxation, with properties calculated at the PBE level.

a = 4.466 Å, b = 4.466 Å, c = 4.466 Å
α = 60.00°, β = 60.00°, γ = 60.00°
Atoms (fractional coordinates):
Zn 0.000 0.000 0.000
Zn 0.250 0.250 0.250
Au 0.500 0.500 0.500
Re 0.750 0.750 0.750

## Properties
DOS at the Fermi energy   3.45 states/eV/cell
Total moment   1.53 μB per formula unit
Space group   F-43m (216)

---

B | Below is Zn2ReAu after structural relaxation, with properties calculated at the PBE level.

a = 2.708 Å, b = 2.708 Å, c = 8.951 Å
α = 90.00°, β = 90.00°, γ = 108.96°
Atoms (fractional coordinates):
Au 0.000 0.000 0.492
Zn 0.500 0.500 0.242
Zn 0.000 0.000 0.003
Re 0.500 0.500 0.764

## Properties
DOS at the Fermi energy   1.28 states/eV/cell
Total moment   0.00 μB per formula unit
Space group   Cmm2 (35)

---

C | Below is Zn2ReAu after structural relaxation, with properties calculated at the PBE level.

a = 2.720 Å, b = 2.720 Å, c = 8.601 Å
α = 90.00°, β = 90.00°, γ = 105.42°
Atoms (fractional coordinates):
Zn 0.000 0.000 0.994
Zn 0.000 0.000 0.506
Re 0.500 0.500 0.750
Au 0.500 0.500 0.250

## Properties
DOS at the Fermi energy   0.90 states/eV/cell
Total moment   0.00 μB per formula unit
Space group   Cmmm (65)

---

D | Below is Zn2ReAu after structural relaxation, with properties calculated at the PBE level.

a = 9.305 Å, b = 9.305 Å, c = 9.305 Å
α = 17.32°, β = 17.32°, γ = 17.32°
Atoms (fractional coordinates):
Zn 0.001 0.001 0.001
Zn 0.251 0.251 0.251
Re 0.747 0.747 0.747
Au 0.501 0.501 0.501

## Properties
DOS at the Fermi energy   2.18 states/eV/cell
Total moment   0.00 μB per formula unit
Space group   R3m (160)

---

Quick look at relative energies in eV/atom: A 0.410; B 0.143; C 0.000; D 0.101.

---

A | Below is Zn2ReAu after structural relaxation, with properties calculated at the PBE level.

a = 9.062 Å, b = 9.062 Å, c = 9.062 Å
α = 17.94°, β = 17.94°, γ = 17.94°
Atoms (fractional coordinates):
Re 0.750 0.750 0.750
Zn 0.498 0.498 0.498
Zn 0.002 0.002 0.002
Au 0.250 0.250 0.250

## Properties
DOS at the Fermi energy   2.02 states/eV/cell
Total moment   0.00 μB per formula unit
Space group   R-3m (166)

---

B | Below is Zn2ReAu after structural relaxation, with properties calculated at the PBE level.

a = 4.306 Å, b = 2.703 Å, c = 5.362 Å
α = 88.59°, β = 90.00°, γ = 90.00°
Atoms (fractional coordinates):
Re 0.500 0.750 0.750
Zn 0.000 0.197 0.974
Zn 0.000 0.303 0.526
Au 0.500 0.250 0.250

## Properties
DOS at the Fermi energy   1.99 states/eV/cell
Total moment   0.00 μB per formula unit
Space group   P2/m (10)

---

C | Below is Zn2ReAu after structural relaxation, with properties calculated at the PBE level.

a = 5.481 Å, b = 5.481 Å, c = 5.481 Å
α = 150.51°, β = 130.23°, γ = 58.92°
Atoms (fractional coordinates):
Zn 0.753 0.253 0.500
Zn 0.999 0.999 0.000
Au 0.505 0.505 0.000
Re 0.243 0.743 0.500

## Properties
DOS at the Fermi energy   1.98 states/eV/cell
Total moment   0.00 μB per formula unit
Space group   Imm2 (44)

---

Quick look at relative energies in eV/atom: A 0.000; B 0.136; C 0.187.

---

A | Below is Zn2ReAu after structural relaxation, with properties calculated at the PBE level.

a = 2.776 Å, b = 3.662 Å, c = 5.996 Å
α = 90.00°, β = 90.00°, γ = 90.00°
Atoms (fractional coordinates):
Zn 0.000 0.000 0.512
Zn 0.000 0.000 0.988
Au 0.500 0.500 0.250
Re 0.500 0.500 0.750

## Properties
DOS at the Fermi energy   1.97 states/eV/cell
Total moment   0.00 μB per formula unit
Space group   Pmmm (47)

---

B | Below is Zn2ReAu after structural relaxation, with properties calculated at the PBE level.

a = 2.733 Å, b = 2.733 Å, c = 8.194 Å
α = 90.00°, β = 90.00°, γ = 90.00°
Atoms (fractional coordinates):
Au 0.500 0.500 0.250
Zn 0.000 0.000 0.993
Zn 0.000 0.000 0.507
Re 0.500 0.500 0.750

## Properties
DOS at the Fermi energy   2.23 states/eV/cell
Total moment   0.00 μB per formula unit
Space group   P4/mmm (123)

---

C | Below is Zn2ReAu after structural relaxation, with properties calculated at the PBE level.

a = 4.304 Å, b = 2.729 Å, c = 5.353 Å
α = 75.38°, β = 90.00°, γ = 90.00°
Atoms (fractional coordinates):
Zn 0.000 0.199 0.977
Zn 0.500 0.058 0.260
Re 0.500 0.793 0.788
Au 0.000 0.450 0.475

## Properties
DOS at the Fermi energy   2.64 states/eV/cell
Total moment   0.00 μB per formula unit
Space group   Pm (6)

---

Quick look at relative energies in eV/atom: A 0.074; B 0.000; C 0.101.

---

A | Below is Zn2ReAu after structural relaxation, with properties calculated at the PBE level.

a = 7.013 Å, b = 7.013 Å, c = 5.669 Å
α = 51.79°, β = 51.79°, γ = 90.00°
Atoms (fractional coordinates):
Au 0.000 0.000 0.000
Au 0.750 0.250 0.500
Zn 0.123 0.625 0.250
Zn 0.875 0.877 0.750
Zn 0.375 0.373 0.750
Zn 0.627 0.125 0.250
Re 0.500 0.500 0.000
Re 0.250 0.750 0.500

## Properties
DOS at the Fermi energy   4.38 states/eV/cell
Total moment   1.59 μB per formula unit
Space group   I-42d (122)

---

B | Below is Zn2ReAu after structural relaxation, with properties calculated at the PBE level.

a = 5.347 Å, b = 5.347 Å, c = 5.347 Å
α = 149.56°, β = 125.32°, γ = 63.88°
Atoms (fractional coordinates):
Zn 0.000 0.000 0.000
Zn 0.500 0.500 0.000
Re 0.250 0.750 0.500
Au 0.750 0.250 0.500

## Properties
DOS at the Fermi energy   2.22 states/eV/cell
Total moment   0.00 μB per formula unit
Space group   Immm (71)

---

Quick look at relative energies in eV/atom: A 0.377; B 0.000.

---

A | Below is ZnReAu3 after structural relaxation, with properties calculated at the PBE level.

a = 4.739 Å, b = 4.739 Å, c = 4.739 Å
α = 90.00°, β = 90.00°, γ = 90.00°
Atoms (fractional coordinates):
Zn 0.000 0.000 0.000
Au 0.000 0.000 0.500
Au 0.500 0.000 0.000
Au 0.000 0.500 0.000
Re 0.500 0.500 0.500

## Properties
DOS at the Fermi energy   2.93 states/eV/cell
Total moment   3.70 μB per formula unit
Space group   Pm-3m (221)

---

B | Below is ZnReAu3 after structural relaxation, with properties calculated at the PBE level.

a = 5.056 Å, b = 5.056 Å, c = 5.056 Å
α = 90.00°, β = 90.00°, γ = 90.00°
Atoms (fractional coordinates):
Re 0.000 0.000 0.000
Au 0.000 0.000 0.500
Au 0.000 0.500 0.000
Au 0.500 0.000 0.000
Zn 0.500 0.500 0.500

## Properties
DOS at the Fermi energy   6.08 states/eV/cell
Total moment   0.00 μB per formula unit
Space group   Pm-3m (221)

---

Quick look at relative energies in eV/atom: A 0.031; B 0.000.

---

A | Below is ZrReAu2 after structural relaxation, with properties calculated at the PBE level.

a = 4.601 Å, b = 2.743 Å, c = 5.789 Å
α = 76.52°, β = 90.00°, γ = 90.00°
Atoms (fractional coordinates):
Au 0.500 0.057 0.262
Au 0.000 0.189 0.997
Re 0.000 0.448 0.481
Zr 0.500 0.806 0.759

## Properties
DOS at the Fermi energy   1.58 states/eV/cell
Total moment   0.00 μB per formula unit
Space group   Pm (6)

---

B | Below is ZrReAu2 after structural relaxation, with properties calculated at the PBE level.

a = 3.909 Å, b = 3.909 Å, c = 10.438 Å
α = 79.21°, β = 79.21°, γ = 90.00°
Atoms (fractional coordinates):
Zr 0.250 0.750 0.500
Zr 0.500 0.500 0.000
Au 0.115 0.625 0.250
Au 0.635 0.125 0.250
Au 0.375 0.365 0.750
Au 0.875 0.885 0.750
Re 0.000 0.000 0.000
Re 0.750 0.250 0.500

## Properties
DOS at the Fermi energy   9.57 states/eV/cell
Total moment   0.00 μB per formula unit
Space group   I-42d (122)

---

Quick look at relative energies in eV/atom: A 0.000; B 0.320.